1.
Pr2NdPdPt2Pb3: relaxed, GGA-PBE.

Calculated values
DFT total energy   -5.559 eV/atom
Volume   222.92 Å³/cell
Space group   No. 38

Geometry as extended XYZ:
```
9
Lattice="4.145 0.000 0.000 0.000 6.821 3.942 0.000 -6.821 3.942" Properties=species:S:1:pos:R:3 pbc="T T T"
Pr 0.000 -4.015 3.942
Pr 0.000 4.015 3.942
Nd 0.000 0.000 3.021
Pd 0.000 0.000 6.256
Pt 2.073 -2.265 2.323
Pt 2.073 2.265 2.323
Pb 2.073 0.000 0.393
Pb 2.073 -1.735 5.254
Pb 2.073 1.735 5.254
```



2.
PrNd2Pd2PtPb3: relaxed, GGA-PBE.

Calculated values
DFT total energy   -5.395 eV/atom
Volume   220.89 Å³/cell
Space group   No. 38

Geometry as extended XYZ:
```
9
Lattice="4.120 0.000 0.000 0.000 6.815 3.933 0.000 -6.815 3.933" Properties=species:S:1:pos:R:3 pbc="T T T"
Pr 0.000 0.000 0.000
Nd 0.000 -2.745 4.756
Nd 0.000 2.745 4.756
Pd 2.060 -4.533 3.170
Pd 2.060 4.533 3.170
Pt 0.000 0.000 3.180
Pb 2.060 -1.774 2.153
Pb 2.060 1.774 2.153
Pb 2.060 0.000 5.216
```



3.
Nd2Pd3PtPb2: relaxed, GGA-PBE.

Calculated values
DFT total energy   -5.504 eV/atom
Volume   177.41 Å³/cell
Space group   No. 156

Geometry as extended XYZ:
```
8
Lattice="4.731 0.000 0.000 -2.365 4.097 0.000 0.000 0.000 9.155" Properties=species:S:1:pos:R:3 pbc="T T T"
Nd 0.000 0.000 0.000
Nd 0.000 2.731 4.530
Pd 0.000 0.000 3.118
Pd 0.000 0.000 6.036
Pd 0.000 2.731 7.634
Pt 0.000 2.731 1.409
Pb 2.365 1.366 2.263
Pb 2.365 1.366 6.825
```



4.
Nd3Pd2PtPb3: relaxed, GGA-PBE.

Calculated values
DFT total energy   -5.396 eV/atom
Volume   219.95 Å³/cell
Space group   No. 189

Geometry as extended XYZ:
```
9
Lattice="7.823 0.000 0.000 -3.911 6.775 0.000 0.000 0.000 4.150" Properties=species:S:1:pos:R:3 pbc="T T T"
Nd -1.581 2.739 0.000
Nd 3.162 0.000 0.000
Nd 2.330 4.036 0.000
Pd 0.000 4.516 2.075
Pd 3.911 2.258 2.075
Pt 0.000 0.000 0.000
Pb -2.897 5.018 2.075
Pb 1.014 1.757 2.075
Pb 5.794 0.000 2.075
```



5.
SrNd2PdPt2Pb3: relaxed, GGA-PBE.

Calculated values
DFT total energy   -5.162 eV/atom
Volume   224.88 Å³/cell
Space group   No. 38

Geometry as extended XYZ:
```
9
Lattice="4.016 0.000 0.000 0.000 7.009 3.995 0.000 -7.009 3.995" Properties=species:S:1:pos:R:3 pbc="T T T"
Sr 0.000 0.000 0.000
Nd 0.000 -2.869 4.883
Nd 0.000 2.869 4.883
Pd 0.000 0.000 3.320
Pt 2.008 -4.560 3.203
Pt 2.008 4.560 3.203
Pb 2.008 -1.802 2.212
Pb 2.008 1.802 2.212
Pb 2.008 0.000 5.335
```



6.
Tb2NdPdPt2Pb3: relaxed, GGA-PBE.

Calculated values
DFT total energy   -5.532 eV/atom
Volume   211.63 Å³/cell
Space group   No. 38

Geometry as extended XYZ:
```
9
Lattice="4.037 0.000 0.000 0.000 6.749 3.884 0.000 -6.749 3.884" Properties=species:S:1:pos:R:3 pbc="T T T"
Tb 0.000 -3.986 3.884
Tb 0.000 3.986 3.884
Nd 0.000 0.000 4.766
Pd 0.000 0.000 1.553
Pt 2.018 -2.296 5.485
Pt 2.018 2.296 5.485
Pb 2.018 -1.748 2.584
Pb 2.018 1.748 2.584
Pb 2.018 0.000 7.349
```



7.
Tb2NdPd2PtPb3: relaxed, GGA-PBE.

Calculated values
DFT total energy   -5.365 eV/atom
Volume   212.03 Å³/cell
Space group   No. 38

Geometry as extended XYZ:
```
9
Lattice="4.013 0.000 0.000 0.000 6.777 3.898 0.000 -6.777 3.898" Properties=species:S:1:pos:R:3 pbc="T T T"
Tb 0.000 -4.075 3.898
Tb 0.000 4.075 3.898
Nd 0.000 0.000 4.674
Pd 2.007 -2.297 5.459
Pd 2.007 2.297 5.459
Pt 0.000 0.000 1.523
Pb 2.007 -1.801 2.577
Pb 2.007 1.801 2.577
Pb 2.007 0.000 7.285
```



8.
NdY2Pd2PtPb3: relaxed, GGA-PBE.

Calculated values
DFT total energy   -5.774 eV/atom
Volume   211.29 Å³/cell
Space group   No. 38

Geometry as extended XYZ:
```
9
Lattice="4.001 0.000 0.000 0.000 6.773 3.899 0.000 -6.773 3.899" Properties=species:S:1:pos:R:3 pbc="T T T"
Nd 0.000 0.000 0.000
Y 0.000 -2.693 4.667
Y 0.000 2.693 4.667
Pd 2.000 -4.482 3.114
Pd 2.000 4.482 3.114
Pt 0.000 0.000 3.147
Pb 2.000 -1.805 2.097
Pb 2.000 1.805 2.097
Pb 2.000 0.000 5.182
```